[1]
Compound: UH8Rh2
Source: Alexandria via LeMat-Bulk
Functional: PBE-GGA
Structure: optimized geometry

Summary:
D(E_F) (states/eV/atom): 0.6398
Raw total energy (eV per formula unit): -53.4
Mass density (Mg/m³): 9.2
Calculated volume (Å³ per cell): 81.96

Cell: 3.717 5.013 5.013 Å, 118.56 91.34 91.34°
Last column: magnetic moment on the atom in μB.
Element x y z (fractional)
U 0.000 0.997 0.997  2.50
H 0.482 0.967 0.697  0.00
H 0.482 0.697 0.967  0.00
H 0.762 0.545 0.545  0.00
H 0.000 0.287 0.707  0.00
H 0.000 0.707 0.287  0.00
H 0.238 0.449 0.449  0.00
H 0.518 0.297 0.027  0.00
H 0.518 0.027 0.297  0.00
Rh 0.500 0.667 0.327  0.11
Rh 0.500 0.327 0.667  0.11

---

[2]
Compound: V3HRh2
Source: Alexandria via LeMat-Bulk
Functional: PBE-GGA
Structure: optimized geometry

Summary:
D(E_F) (states/eV/atom): 1.0173
Raw total energy (eV per formula unit): -46.0
Mass density (Mg/m³): 8.0
Calculated volume (Å³ per cell): 148.41

Cell: 4.154 6.256 6.856 Å, 81.04 62.02 70.61°
Element x y z (fractional)
V 0.483 0.638 0.804
V 0.260 0.000 0.231
V 0.517 0.362 0.196
V 0.880 0.638 0.196
V 0.120 0.362 0.804
V 0.740 0.000 0.769
H 0.715 0.570 0.000
H 0.285 0.430 0.000
Rh 0.000 0.000 0.000
Rh 0.500 0.000 0.500
Rh 0.166 0.667 0.500
Rh 0.834 0.333 0.500

---

[3]
Compound: VHRh3
Source: Alexandria via LeMat-Bulk
Functional: PBE-GGA
Structure: optimized geometry

Summary:
D(E_F) (states/eV/atom): 0.7694
Raw total energy (eV per formula unit): -35.9
Mass density (Mg/m³): 10.3
E above lowest polymorph (meV per atom): 5.9
Calculated volume (Å³ per cell): 58.02

Cell: 3.871 3.871 3.871 Å, 90.00 90.00 90.00°
Last column: magnetic moment on the atom in μB.
Element x y z (fractional)
H 0.000 0.000 0.000  0.00
Rh 0.000 0.500 0.000  -0.06
Rh 0.000 0.000 0.500  -0.06
Rh 0.500 0.000 0.000  -0.06
V 0.500 0.500 0.500  0.25

---

[4]
Compound: VH3Rh2
Source: Alexandria via LeMat-Bulk
Functional: PBE-GGA
Structure: optimized geometry

Summary:
D(E_F) (states/eV/atom): 0.5261
Raw total energy (eV per formula unit): -34.9
Mass density (Mg/m³): 9.0
Calculated volume (Å³ per cell): 191.95

Cell: 3.936 5.677 8.590 Å, 90.00 90.00 90.00°
Element x y z (fractional)
V 0.250 0.887 0.073
V 0.250 0.387 0.427
V 0.750 0.613 0.573
V 0.750 0.113 0.927
H 0.250 0.632 0.574
H 0.250 0.132 0.926
H 0.250 0.615 0.917
H 0.250 0.115 0.583
H 0.250 0.613 0.242
H 0.250 0.113 0.258
H 0.750 0.887 0.742
H 0.750 0.387 0.758
H 0.750 0.885 0.417
H 0.750 0.385 0.083
H 0.750 0.868 0.074
H 0.750 0.368 0.426
Rh 0.250 0.872 0.760
Rh 0.250 0.372 0.740
Rh 0.250 0.873 0.415
Rh 0.250 0.373 0.085
Rh 0.750 0.627 0.915
Rh 0.750 0.127 0.585
Rh 0.750 0.628 0.260
Rh 0.750 0.128 0.240

---

[5]
Compound: VHRh3
Source: Alexandria via LeMat-Bulk
Functional: PBE-GGA
Structure: optimized geometry

Summary:
D(E_F) (states/eV/atom): 1.3921
Raw total energy (eV per formula unit): -27.7
Mass density (Mg/m³): 6.7
E above lowest polymorph (meV per atom): 1642.8
Calculated volume (Å³ per cell): 89.96

Cell: 4.481 4.481 4.481 Å, 90.00 90.00 90.00°
Last column: magnetic moment on the atom in μB.
Element x y z (fractional)
H 0.500 0.500 0.500  0.12
Rh 0.000 0.500 0.000  0.17
Rh 0.000 0.000 0.500  0.17
Rh 0.500 0.000 0.000  0.17
V 0.000 0.000 0.000  -0.07

---

[6]
Compound: VH3Rh
Source: Alexandria via LeMat-Bulk
Functional: PBE-GGA
Structure: optimized geometry

Summary:
D(E_F) (states/eV/atom): 0.7435
Raw total energy (eV per formula unit): -25.3
Mass density (Mg/m³): 6.9
Calculated volume (Å³ per cell): 37.84

Cell: 3.357 3.357 3.357 Å, 90.00 90.00 90.00°
Last column: magnetic moment on the atom in μB.
Element x y z (fractional)
H 0.000 0.500 0.000  -0.01
H 0.000 0.000 0.500  -0.01
H 0.500 0.000 0.000  -0.01
Rh 0.500 0.500 0.500  0.28
V 0.000 0.000 0.000  0.87

---

Question: What is the D(E_F) in the sixth record?
Answer: 0.7435 states/eV/atom

---

Question: Which value of raw total energy does entry 4 give?
Answer: -34.9 eV per formula unit